[1]
VASP calculation (GGA-PBE) on a relaxed Tl5In2Au5 crystal.

a = 14.0902 Å, b = 3.9074 Å, c = 12.2357 Å
α = 90.00°, β = 104.97°, γ = 90.00°
Space group C2/m (No. 12)
Asymmetric unit:
Tl 0.0000 0.0000 0.0000
Tl 0.1633 0.0000 0.5559
Tl 0.2423 0.5000 0.1378
In 0.0378 0.5000 0.2888
Au 0.0000 0.5000 0.5000
Au 0.1141 0.5000 0.9038
Au 0.1850 0.0000 0.3002

**DFT total energy**: -2.860 eV/atom
**Spin magnetization**: 0.00 μB/f.u.
**Energy of formation from the pure elements**: -52 meV/atom

=====

[2]
VASP calculation (GGA-PBE) on a relaxed Tl2InAu2 crystal.

a = 7.0299 Å, b = 4.6642 Å, c = 8.1957 Å
α = 90.00°, β = 107.65°, γ = 90.00°
Space group P2_1/m (No. 11)
Asymmetric unit:
Tl 0.0843 0.2500 0.3639
Tl 0.1269 0.2500 0.9311
In 0.4678 0.7500 0.2643
Au 0.3180 0.7500 0.5415
Au 0.3941 0.7500 0.8988

**DFT total energy**: -2.883 eV/atom
**Spin magnetization**: 0.00 μB/f.u.
**ΔE to the lowest computed polymorph**: 0.0 kJ/mol of formula units
**Energy of formation from the pure elements**: -78 meV/atom

=====

[3]
VASP calculation (GGA-PBE) on a relaxed TlIn2Au crystal.

a = 3.2837 Å, b = 3.4731 Å, c = 9.0018 Å
α = 90.00°, β = 90.00°, γ = 90.00°
Space group Pmmm (No. 47)
Asymmetric unit:
Tl 0.0000 0.0000 0.0000
In 0.5000 0.5000 0.2967
Au 0.0000 0.0000 0.5000

**DFT total energy**: -2.849 eV/atom
**Spin magnetization**: 0.00 μB/f.u.
**ΔE to the lowest computed polymorph**: 20.9 kJ/mol of formula units
**Energy of formation from the pure elements**: -68 meV/atom